No. 1
VASP calculation (GGA-PBEsol) on crystalline Ba2BeAl at its relaxed geometry.

Structure (CIF):
```
data_Ba2BeAl
_chemical_formula_sum 'Ba8 Be4 Al4'
_cell_length_a 7.671
_cell_length_b 7.671
_cell_length_c 7.671
_cell_angle_alpha 90.00
_cell_angle_beta 90.00
_cell_angle_gamma 90.00
_space_group_name_H-M_alt 'F -4 3 m'
_space_group_IT_number 216
_space_group_name_Hall 'F -4 2 3'
loop_
_atom_site_label
_atom_site_type_symbol
_atom_site_fract_x
_atom_site_fract_y
_atom_site_fract_z
Ba1 Ba 0.000 0.000 0.000
Ba2 Ba 0.250 0.250 0.250
Be1 Be 0.000 0.000 0.500
Al1 Al 0.250 0.250 0.750
```

As for the calculated volume: 28.21 Å³ per atom.

=====

No. 2
VASP calculation (GGA-PBEsol) on crystalline BaBe2AlPd at its relaxed geometry.

Structure (CIF):
```
data_BaBe2AlPd
_chemical_formula_sum 'Ba1 Be2 Al1 Pd1'
_cell_length_a 5.228
_cell_length_b 5.228
_cell_length_c 5.257
_cell_angle_alpha 90.00
_cell_angle_beta 90.00
_cell_angle_gamma 90.00
_space_group_name_H-M_alt 'P 4/m m m'
_space_group_IT_number 123
_space_group_name_Hall '-P 4 2'
loop_
_atom_site_label
_atom_site_type_symbol
_atom_site_fract_x
_atom_site_fract_y
_atom_site_fract_z
Ba1 Ba 0.000 0.000 0.000
Be1 Be 0.000 0.500 0.000
Al1 Al 0.500 0.500 0.500
Pd1 Pd 0.000 0.000 0.500
```

As for the calculated volume: 28.73 Å³ per atom.

=====

No. 3
VASP calculation (GGA-PBEsol) on crystalline BaAlBi2Os at its relaxed geometry.

Structure (CIF):
```
data_BaAlBi2Os
_chemical_formula_sum 'Ba1 Al1 Bi2 Os1'
_cell_length_a 5.257
_cell_length_b 5.257
_cell_length_c 6.029
_cell_angle_alpha 90.00
_cell_angle_beta 90.00
_cell_angle_gamma 90.00
_space_group_name_H-M_alt 'P 4/m m m'
_space_group_IT_number 123
_space_group_name_Hall '-P 4 2'
loop_
_atom_site_label
_atom_site_type_symbol
_atom_site_fract_x
_atom_site_fract_y
_atom_site_fract_z
Ba1 Ba 0.000 0.000 0.000
Al1 Al 0.000 0.000 0.500
Bi1 Bi 0.000 0.500 0.500
Os1 Os 0.500 0.500 0.000
```

As for the calculated volume: 33.32 Å³ per atom.

=====

no.,energy of formation from the pure elements (meV per atom),spin magnetization (Bohr magnetons per cell)
1,451,0.00
2,1926,0.00
3,1371,2.98